The following is a PBE-GGA calculation of a geometry-optimized PdRhI2 structure, from Alexandria via LeMat-Bulk.

abc: 6.1736 6.1736 11.9696
angles: 90.00 90.00 90.00
Last column: nearest neighbours and their distance in Å.
Positions (direct):
Pd1 0.0000 0.0000 0.0000  4 I 2.69
Pd2 0.0000 0.5000 0.2500  4 I 2.69
Pd3 0.5000 0.0000 0.7500  4 I 2.69
Pd4 0.5000 0.5000 0.5000  4 I 2.69
Rh1 0.0000 0.0000 0.5000  4 I 2.60
Rh2 0.0000 0.5000 0.7500  4 I 2.60
Rh3 0.5000 0.0000 0.2500  4 I 2.60
Rh4 0.5000 0.5000 0.0000  4 I 2.60
I1 0.2376 0.2500 0.6250  2 Rh 2.60, 2 Pd 2.69
I2 0.2500 0.7376 0.8750  2 Rh 2.60, 2 Pd 2.69
I3 0.2500 0.7624 0.3750  2 Rh 2.60, 2 Pd 2.69
I4 0.2624 0.2500 0.1250  2 Rh 2.60, 2 Pd 2.69
I5 0.7376 0.7500 0.1250  2 Rh 2.60, 2 Pd 2.69
I6 0.7500 0.2376 0.3750  2 Rh 2.60, 2 Pd 2.69
I7 0.7500 0.2624 0.8750  2 Rh 2.60, 2 Pd 2.69
I8 0.7624 0.7500 0.6250  2 Rh 2.60, 2 Pd 2.69

- ΔE to the lowest computed polymorph: 0.00 eV/f.u.
- Calculated volume: 456 Å³/cell
- Space-group type: No. 122


The following is a PBE-GGA calculation of a geometry-optimized PdRh2I structure, from Alexandria via LeMat-Bulk.

abc: 6.4407 6.4407 6.4407
angles: 90.00 90.00 90.00
Last column: nearest neighbours and their distance in Å.
Positions (direct):
Pd1 0.0000 0.0000 0.0000  8 Rh 2.79
Pd2 0.0000 0.5000 0.5000  8 Rh 2.79
Pd3 0.5000 0.0000 0.5000  8 Rh 2.79
Pd4 0.5000 0.5000 0.0000  8 Rh 2.79
Rh1 0.2500 0.2500 0.2500  4 I 2.79, 4 Pd 2.79
Rh2 0.2500 0.2500 0.7500  4 I 2.79, 4 Pd 2.79
Rh3 0.2500 0.7500 0.2500  4 I 2.79, 4 Pd 2.79
Rh4 0.2500 0.7500 0.7500  4 I 2.79, 4 Pd 2.79
Rh5 0.7500 0.2500 0.2500  4 I 2.79, 4 Pd 2.79
Rh6 0.7500 0.2500 0.7500  4 I 2.79, 4 Pd 2.79
Rh7 0.7500 0.7500 0.2500  4 I 2.79, 4 Pd 2.79
Rh8 0.7500 0.7500 0.7500  4 I 2.79, 4 Pd 2.79
I1 0.0000 0.0000 0.5000  8 Rh 2.79
I2 0.0000 0.5000 0.0000  8 Rh 2.79
I3 0.5000 0.0000 0.0000  8 Rh 2.79
I4 0.5000 0.5000 0.5000  8 Rh 2.79

- ΔE to the lowest computed polymorph: 0.00 eV/f.u.
- Calculated volume: 267 Å³/cell
- Space-group type: No. 225


The following is a PBE-GGA calculation of a geometry-optimized PdRhI structure, from Alexandria via LeMat-Bulk.

abc: 4.5953 4.7889 6.3264
angles: 104.81 97.76 105.40
Last column: nearest neighbours and their distance in Å.
Positions (direct):
Pd1 0.1225 0.3233 0.1300  3 I 2.70-2.95, 3 Rh 2.74-2.85, 2 Pd 2.93-2.96
Pd2 0.8775 0.6767 0.8700  3 I 2.70-2.95, 3 Rh 2.74-2.85, 2 Pd 2.93-2.96
Rh1 0.2838 0.5719 0.6034  2 I 2.58-2.59, 2 Rh 2.58-2.67, 3 Pd 2.74-2.85
Rh2 0.7162 0.4281 0.3966  2 I 2.58-2.59, 2 Rh 2.58-2.67, 3 Pd 2.74-2.85
I1 0.3489 0.1421 0.7647  2 Rh 2.58-2.59, 2 Pd 2.70-2.88
I2 0.6511 0.8579 0.2353  2 Rh 2.58-2.59, 2 Pd 2.70-2.88

- Calculated volume: 127 Å³/cell
- Space-group type: No. 2


The following is a PBE-GGA calculation of a geometry-optimized Pd2RhI structure, from Alexandria via LeMat-Bulk.

abc: 6.5380 6.5380 6.5380
angles: 90.00 90.00 90.00
Last column: nearest neighbours and their distance in Å.
Positions (direct):
Pd1 0.2500 0.2500 0.2500  4 Rh 2.83, 4 I 2.83
Pd2 0.2500 0.2500 0.7500  4 Rh 2.83, 4 I 2.83
Pd3 0.2500 0.7500 0.2500  4 Rh 2.83, 4 I 2.83
Pd4 0.2500 0.7500 0.7500  4 Rh 2.83, 4 I 2.83
Pd5 0.7500 0.2500 0.2500  4 Rh 2.83, 4 I 2.83
Pd6 0.7500 0.2500 0.7500  4 Rh 2.83, 4 I 2.83
Pd7 0.7500 0.7500 0.2500  4 Rh 2.83, 4 I 2.83
Pd8 0.7500 0.7500 0.7500  4 Rh 2.83, 4 I 2.83
Rh1 0.0000 0.0000 0.0000  8 Pd 2.83
Rh2 0.0000 0.5000 0.5000  8 Pd 2.83
Rh3 0.5000 0.0000 0.5000  8 Pd 2.83
Rh4 0.5000 0.5000 0.0000  8 Pd 2.83
I1 0.0000 0.0000 0.5000  8 Pd 2.83
I2 0.0000 0.5000 0.0000  8 Pd 2.83
I3 0.5000 0.0000 0.0000  8 Pd 2.83
I4 0.5000 0.5000 0.5000  8 Pd 2.83

- ΔE to the lowest computed polymorph: 0.08 eV/f.u.
- Calculated volume: 279 Å³/cell
- Space-group type: No. 225


The following is a PBE-GGA calculation of a geometry-optimized PdRhI3 structure, from Alexandria via LeMat-Bulk.

abc: 5.3860 5.3860 5.3860
angles: 90.00 90.00 90.00
Last column: nearest neighbours and their distance in Å.
Positions (direct):
Pd1 0.0000 0.0000 0.0000  12 I 3.81
Rh1 0.5000 0.5000 0.5000  6 I 2.69
I1 0.0000 0.5000 0.5000  2 Rh 2.69
I2 0.5000 0.0000 0.5000  2 Rh 2.69
I3 0.5000 0.5000 0.0000  2 Rh 2.69

- ΔE to the lowest computed polymorph: 0.00 eV/f.u.
- Calculated volume: 156 Å³/cell
- Space-group type: No. 221


The following is a PBE-GGA calculation of a geometry-optimized PdRh2I structure, from Alexandria via LeMat-Bulk.

abc: 3.9116 3.9116 18.9049
angles: 90.00 90.00 90.00
Last column: nearest neighbours and their distance in Å.
Positions (direct):
Pd1 0.0000 0.0000 0.0000  4 Rh 2.72, 4 I 2.77
Pd2 0.0000 0.5000 0.2500  4 Rh 2.72, 4 I 2.77
Pd3 0.5000 0.0000 0.7500  4 Rh 2.72, 4 I 2.77
Pd4 0.5000 0.5000 0.5000  4 Rh 2.72, 4 I 2.77
Rh1 0.2368 0.2500 0.1250  4 Rh 2.69-2.84, 2 Pd 2.72, 2 I 2.76
Rh2 0.2500 0.7368 0.3750  4 Rh 2.69-2.84, 2 Pd 2.72, 2 I 2.76
Rh3 0.2500 0.7632 0.8750  4 Rh 2.69-2.84, 2 Pd 2.72, 2 I 2.76
Rh4 0.2632 0.2500 0.6250  4 Rh 2.69-2.84, 2 Pd 2.72, 2 I 2.76
Rh5 0.7368 0.7500 0.6250  4 Rh 2.69-2.84, 2 Pd 2.72, 2 I 2.76
Rh6 0.7500 0.2368 0.8750  4 Rh 2.69-2.84, 2 Pd 2.72, 2 I 2.76
Rh7 0.7500 0.2632 0.3750  4 Rh 2.69-2.84, 2 Pd 2.72, 2 I 2.76
Rh8 0.7632 0.7500 0.1250  4 Rh 2.69-2.84, 2 Pd 2.72, 2 I 2.76
I1 0.0000 0.0000 0.5000  4 Rh 2.76, 4 Pd 2.77
I2 0.0000 0.5000 0.7500  4 Rh 2.76, 4 Pd 2.77
I3 0.5000 0.0000 0.2500  4 Rh 2.76, 4 Pd 2.77
I4 0.5000 0.5000 0.0000  4 Rh 2.76, 4 Pd 2.77

- ΔE to the lowest computed polymorph: 0.26 eV/f.u.
- Calculated volume: 289 Å³/cell
- Space-group type: No. 122


The following is a PBE-GGA calculation of a geometry-optimized SbPdRhI2 structure, from Alexandria via LeMat-Bulk.

abc: 5.5168 5.5168 4.9458
angles: 90.00 90.00 90.00
Last column: nearest neighbours and their distance in Å.
Positions (direct):
Sb1 0.0000 0.0000 0.0000  2 Rh 2.47
Pd1 0.5000 0.5000 0.0000  8 I 3.70, 4 Sb 3.90
Rh1 0.0000 0.0000 0.5000  2 Sb 2.47, 4 I 2.76
I1 0.0000 0.5000 0.5000  2 Rh 2.76
I2 0.5000 0.0000 0.5000  2 Rh 2.76

- ΔE to the lowest computed polymorph: 0.00 eV/f.u.
- Calculated volume: 151 Å³/cell
- Space-group type: No. 123


The following is a PBE-GGA calculation of a geometry-optimized Si2PdRhI structure, from Alexandria via LeMat-Bulk.

abc: 5.2343 5.2343 4.8257
angles: 90.00 90.00 90.00
Last column: nearest neighbours and their distance in Å.
Positions (direct):
Si1 0.0000 0.5000 0.0000  2 I 2.62
Si2 0.5000 0.0000 0.0000  2 I 2.62
Pd1 0.0000 0.0000 0.5000  2 I 2.41
Rh1 0.5000 0.5000 0.5000  8 Si 3.56, 4 Pd 3.70
I1 0.0000 0.0000 0.0000  2 Pd 2.41, 4 Si 2.62

- Calculated volume: 132 Å³/cell
- Space-group type: No. 123


The following is a PBE-GGA calculation of a geometry-optimized Sm6PdRh2I3 structure, from Alexandria via LeMat-Bulk.

abc: 7.2129 7.2129 8.4068
angles: 98.22 98.22 119.99
Last column: nearest neighbours and their distance in Å.
Positions (direct):
Sm1 0.0955 0.4381 0.8142  2 Rh 2.80, 1 Pd 2.89
Sm2 0.2191 0.2191 0.1854  2 Rh 2.80, 1 Pd 2.89
Sm3 0.4381 0.0955 0.8142  2 Rh 2.80, 1 Pd 2.89
Sm4 0.5619 0.9045 0.1858  2 Rh 2.80, 1 Pd 2.89
Sm5 0.7809 0.7809 0.8146  2 Rh 2.80, 1 Pd 2.89
Sm6 0.9045 0.5619 0.1858  2 Rh 2.80, 1 Pd 2.89
Pd1 0.5000 0.5000 0.0000  6 Sm 2.89
Rh1 0.1667 0.8333 0.0000  6 Sm 2.80
Rh2 0.8333 0.1667 0.0000  6 Sm 2.80
I1 0.0000 0.0000 0.5000  6 Sm 3.45-3.51
I2 0.3336 0.6664 0.5000  6 Sm 3.45-3.52
I3 0.6664 0.3336 0.5000  6 Sm 3.45-3.52

- Calculated volume: 363 Å³/cell
- Space-group type: No. 12


The following is a PBE-GGA calculation of a geometry-optimized Sm8PdRh3I4 structure, from Alexandria via LeMat-Bulk.

abc: 9.3773 9.3773 9.3773
angles: 52.64 52.64 52.64
Last column: nearest neighbours and their distance in Å.
Positions (direct):
Sm1 0.2204 0.7324 0.7324  2 Rh 2.80, 1 Pd 2.88
Sm2 0.2285 0.2285 0.2285  3 Rh 2.83
Sm3 0.2676 0.2676 0.7796  2 Rh 2.80, 1 Pd 2.88
Sm4 0.2676 0.7796 0.2676  2 Rh 2.80, 1 Pd 2.88
Sm5 0.7324 0.2204 0.7324  2 Rh 2.80, 1 Pd 2.88
Sm6 0.7324 0.7324 0.2204  2 Rh 2.80, 1 Pd 2.88
Sm7 0.7715 0.7715 0.7715  3 Rh 2.83
Sm8 0.7796 0.2676 0.2676  2 Rh 2.80, 1 Pd 2.88
Pd1 0.5000 0.5000 0.5000  6 Sm 2.88
Rh1 0.0000 0.0000 0.5000  6 Sm 2.80-2.83
Rh2 0.0000 0.5000 0.0000  6 Sm 2.80-2.83
Rh3 0.5000 0.0000 0.0000  6 Sm 2.80-2.83
I1 0.0000 0.0000 0.0000  6 Sm 3.45
I2 0.0000 0.5000 0.5000  6 Sm 3.49-3.51
I3 0.5000 0.0000 0.5000  6 Sm 3.49-3.51
I4 0.5000 0.5000 0.0000  6 Sm 3.49-3.51

- Calculated volume: 482 Å³/cell
- Space-group type: No. 166


The following is a PBE-GGA calculation of a geometry-optimized TaPdRh2I structure, from Alexandria via LeMat-Bulk.

abc: 4.7876 4.7876 4.9959
angles: 90.00 90.00 90.00
Last column: nearest neighbours and their distance in Å.
Positions (direct):
Ta1 0.0000 0.0000 0.0000  4 Rh 2.39, 2 Pd 2.50
Pd1 0.0000 0.0000 0.5000  2 Ta 2.50
Rh1 0.0000 0.5000 0.0000  2 Ta 2.39
Rh2 0.5000 0.0000 0.0000  2 Ta 2.39
I1 0.5000 0.5000 0.5000  4 Pd 3.39, 8 Rh 3.46

- ΔE to the lowest computed polymorph: 0.00 eV/f.u.
- Calculated volume: 115 Å³/cell
- Space-group type: No. 123


The following is a PBE-GGA calculation of a geometry-optimized TaPdRh2I structure, from Alexandria via LeMat-Bulk.

abc: 4.7857 4.7857 4.8102
angles: 90.00 90.00 90.00
Last column: nearest neighbours and their distance in Å.
Positions (direct):
Ta1 0.0000 0.0000 0.0000  4 Pd 3.38, 8 Rh 3.39
Pd1 0.5000 0.5000 0.0000  2 I 2.41
Rh1 0.0000 0.5000 0.5000  2 I 2.39
Rh2 0.5000 0.0000 0.5000  2 I 2.39
I1 0.5000 0.5000 0.5000  4 Rh 2.39, 2 Pd 2.41

- ΔE to the lowest computed polymorph: 2.84 eV/f.u.
- Calculated volume: 110 Å³/cell
- Space-group type: No. 123


One value per record, in order, for raw formation energy: 0.211 0.436 0.324 0.409 0.530 0.501 0.532 1.744 -0.930 -0.934 0.844 1.412 eV/atom.
One value per record, in order, for raw total energy: -3.701 -4.925 -4.374 -4.413 -2.909 -4.860 -3.422 -3.244 -5.336 -5.384 -5.815 -5.248 eV per atom.